VASP calculation (PBE-GGA) on a relaxed ErTh2UAs4 crystal.

Cell and atoms, written as extended XYZ:
```
8
Lattice="7.208 0.000 0.000 0.000 4.163 0.000 -2.399 0.000 6.838" Properties=species:S:1:pos:R:3 pbc="T T T"
Er 0.000 0.000 0.000
Th 2.405 0.000 3.419
Th 3.604 2.082 0.000
U -1.199 2.082 3.419
As -0.078 0.000 5.105
As 1.124 2.082 1.685
As 4.887 0.000 1.733
As 3.685 2.082 5.153
```

Summary:
As for the energy: -59.282 eV for the cell shown. The value obtained for the total magnetization is 2.5 μB per cell.